No. 1
This record from the Alexandria database describes a relaxed structure of CsReSe3. The functional is GGA-PBE.

## Properties
energy relative to the elements, uncorrected: -101 meV/atom
space group: Pm-3m (221)

Geometry as POSCAR:
```
CsReSe3
1.0
5.066 0.000 0.000
0.000 5.066 0.000
0.000 0.000 5.066
Cs Re Se
1 1 3
Direct
0.000 0.000 0.000
0.500 0.500 0.500
0.000 0.500 0.500
0.500 0.000 0.500
0.500 0.500 0.000
```


No. 2
This record from the Alexandria database describes a relaxed structure of Nd5Tm6In. The functional is GGA-PBE.

## Properties
energy relative to the elements: -45 meV per atom
space group: Immm (71)

Geometry as POSCAR:
```
Nd5Tm6In
1.0
-2.502 5.004 7.500
2.502 -5.004 7.500
2.502 5.004 -7.500
Nd Tm In
5 6 1
Direct
0.000 0.000 0.000
0.163 0.663 0.500
0.333 0.333 0.000
0.667 0.667 0.000
0.837 0.337 0.500
0.090 0.835 0.254
0.256 0.500 0.756
0.419 0.165 0.254
0.581 0.835 0.746
0.744 0.500 0.244
0.910 0.165 0.746
0.500 0.000 0.500
```


No. 3
This record from the Alexandria database describes a relaxed structure of YMg2Rh. The functional is GGA-PBE.

## Properties
energy relative to the elements: -329 meV per atom
space group: Cm (8)

Geometry as POSCAR:
```
YMg2Rh
1.0
9.468 0.000 0.000
0.000 4.081 0.000
-3.130 0.000 4.661
Y Mg Rh
2 4 2
Direct
0.000 0.000 0.000
0.500 0.500 0.000
0.192 0.000 0.666
0.417 0.000 0.388
0.692 0.500 0.666
0.917 0.500 0.388
0.224 0.500 0.386
0.724 0.000 0.386
```


no.,M_tot (μB/cell),E_tot (eV/cell)
1,0.00,-24.3
2,0.00,-53.9
3,0.00,-36.6